1.
A relaxed structure of K5AlO4. Source: the Alexandria database, functional PBE-GGA.

Uncorrected energy (eV per formula unit): -45.61
Energy relative to the elements, uncorrected (eV/atom): -1.6542
Space-group type: Pmmn (59)
Density (g/cm3): 2.4

```
K5AlO4
1.0
7.6964 0.0000 0.0000
0.0000 8.2543 0.0000
0.0000 0.0000 6.2417
K Al O
10 2 8
Direct
0.0136 0.0605 0.2366
0.0136 0.4395 0.2366
0.2500 0.7500 0.3501
0.4864 0.0605 0.2366
0.4864 0.4395 0.2366
0.5136 0.5605 0.7634
0.5136 0.9395 0.7634
0.7500 0.2500 0.6499
0.9864 0.5605 0.7634
0.9864 0.9395 0.7634
0.2500 0.2500 0.7099
0.7500 0.7500 0.2901
0.0504 0.2500 0.8707
0.2500 0.0636 0.5485
0.2500 0.4364 0.5485
0.4496 0.2500 0.8707
0.5504 0.7500 0.1293
0.7500 0.5636 0.4515
0.7500 0.9364 0.4515
0.9496 0.7500 0.1293
```

2.
A relaxed structure of LaCdOF2. Source: the Alexandria database, functional PBE-GGA.

Uncorrected energy (eV per formula unit): -27.22
Energy relative to the elements, uncorrected (eV/atom): -2.5354
Space-group type: P4/mmm (123)
Density (g/cm3): 4.9

```
LaCdOF2
1.0
4.7071 0.0000 0.0000
0.0000 4.7071 0.0000
0.0000 0.0000 4.7022
La Cd O F
1 1 1 2
Direct
0.0000 0.0000 0.0000
0.5000 0.5000 0.5000
0.0000 0.0000 0.5000
0.0000 0.5000 0.0000
0.5000 0.0000 0.0000
```

3.
A relaxed structure of ScAg2Au. Source: the Alexandria database, functional PBE-GGA.

Uncorrected energy (eV per formula unit): -15.97
Space-group type: C2/m (12)
Density (g/cm3): 9.9

```
ScAg2Au
1.0
2.8546 -5.0424 0.0000
2.8546 5.0424 0.0000
-1.5886 0.0000 2.6683
Sc Ag Au
1 2 1
Direct
0.0000 0.0000 0.0000
0.0000 0.5000 0.5000
0.5000 0.0000 0.5000
0.5000 0.5000 0.0000
```